DFT (GGA-PBE) results for crystalline BaSrMo2 at its relaxed geometry.

* total DFT energy (no corrections): -18.9 eV/f.u.
* DOS(E_F): 4.6 states/eV/f.u.
* formation energy: 1.58 eV/atom
* excess energy over the best structure of this formula in the dataset: 1.0502 eV per atom

Cell: 3.9181 3.9181 7.8525 Å, 90.00 90.00 90.00°
Closest atoms and distances in Å follow each position.
Fractional positions:
Mo1 0.0000 0.0000 0.4779  4 Sr 3.30, 4 Ba 3.50, 1 Mo 3.58
Ba1 0.5000 0.5000 0.7500  8 Mo 3.50, 4 Ba 3.92
Mo2 0.0000 0.0000 0.0221  4 Sr 3.30, 4 Ba 3.50, 1 Mo 3.58
Sr1 0.5000 0.5000 0.2500  8 Mo 3.30